1.
A plane-wave DFT calculation with GGA-PBE was carried out for a geometry-optimized KWSCl2 structure.

Cell and atoms, written as POSCAR:
```
KWSCl2
1.0
5.395 0.000 0.000
0.000 5.395 0.000
0.000 0.000 5.584
K W S Cl
1 1 1 2
direct
0.000 0.000 0.000
0.500 0.500 0.500
0.000 0.000 0.500
0.000 0.500 0.000
0.500 0.000 0.000
```

## Properties
Magnetic moment ... 3.00 μB/f.u.
Distance to the lowest polymorph of the same formula ... 1905 meV/atom
E_form (uncorrected) ... 1.241 eV/atom
Electronic total energy ... -15.7 eV per cell
Symmetry ... No. 123

2.
A plane-wave DFT calculation with GGA-PBE was carried out for a geometry-optimized La15Tm2Mg2 structure.

Cell and atoms, written as POSCAR:
```
La15Tm2Mg2
1.0
5.540 3.199 6.211
-5.540 3.199 6.211
0.000 -6.398 6.211
La Tm Mg
15 2 2
direct
0.000 0.000 0.500
0.000 0.295 0.705
0.000 0.500 0.000
0.000 0.705 0.295
0.173 0.603 0.603
0.295 0.000 0.705
0.295 0.705 0.000
0.397 0.397 0.827
0.397 0.827 0.397
0.500 0.000 0.000
0.603 0.173 0.603
0.603 0.603 0.173
0.705 0.000 0.295
0.705 0.295 0.000
0.827 0.397 0.397
0.298 0.298 0.298
0.702 0.702 0.702
0.091 0.091 0.091
0.909 0.909 0.909
```

## Properties
Magnetic moment ... 0.00 μB/f.u.
Energy of formation from the pure elements ... 0.18 eV per atom
Electronic total energy ... -82.6 eV per cell
Symmetry ... No. 166

3.
A plane-wave DFT calculation with GGA-PBE was carried out for a geometry-optimized LiLaTmTe3 structure.

Cell and atoms, written as POSCAR:
```
LiLaTmTe3
1.0
8.965 0.000 0.000
0.000 4.316 0.000
-2.362 0.000 9.295
Li La Tm Te
2 2 2 6
direct
0.086 0.250 0.086
0.914 0.750 0.914
0.191 0.250 0.734
0.809 0.750 0.266
0.329 0.750 0.342
0.671 0.250 0.658
0.096 0.250 0.372
0.234 0.750 0.008
0.438 0.750 0.672
0.562 0.250 0.328
0.766 0.250 0.992
0.904 0.750 0.628
```

## Properties
Magnetic moment ... 0.00 μB/f.u.
E_form (uncorrected) ... -1.327 eV/atom
Electronic total energy ... -57.4 eV per cell
Symmetry ... No. 11

4.
A plane-wave DFT calculation with GGA-PBE was carried out for a geometry-optimized Ho4TlPt2 structure.

Cell and atoms, written as POSCAR:
```
Ho4TlPt2
1.0
2.346 1.354 9.864
-2.346 1.354 9.864
0.000 -2.708 9.864
Ho Tl Pt
4 1 2
direct
0.112 0.112 0.112
0.299 0.299 0.299
0.701 0.701 0.701
0.888 0.888 0.888
0.500 0.500 0.500
0.399 0.399 0.399
0.601 0.601 0.601
```

## Properties
Magnetic moment ... 0.00 μB/f.u.
Energy of formation from the pure elements ... -0.75 eV per atom
Electronic total energy ... -38.0 eV per cell
Symmetry ... No. 166